The following is a DFT calculation (GGA-PBE) of a relaxed structure of Pr2Al2CuPd5.

a b c (Å): 3.3321 10.5076 10.5076
angles (deg): 90.00 90.00 90.00
Last column: nearest neighbours and their distance in Å.
Atoms (fractional coordinates):
Al  0.0000  0.3730  0.1270  6 Pd 2.52-2.60
Al  0.0000  0.1270  0.6270  6 Pd 2.52-2.60
Al  0.0000  0.6270  0.8730  6 Pd 2.52-2.60
Al  0.0000  0.8730  0.3730  6 Pd 2.52-2.60
Pr  0.0000  0.6755  0.1755  3 Al 2.93-3.22, 10 Pd 3.10-3.28
Pr  0.0000  0.3245  0.8245  3 Al 2.93-3.22, 10 Pd 3.10-3.28
Pr  0.0000  0.1755  0.3245  3 Al 2.93-3.22, 10 Pd 3.10-3.28
Pr  0.0000  0.8245  0.6755  3 Al 2.93-3.22, 10 Pd 3.10-3.28
Pd  0.5000  0.0569  0.8032  2 Al 2.60, 2 Cu 2.72
Pd  0.5000  0.9431  0.1968  2 Al 2.60, 2 Cu 2.72
Pd  0.5000  0.3032  0.5569  2 Al 2.60, 2 Cu 2.72
Pd  0.5000  0.5569  0.6968  2 Al 2.60, 2 Cu 2.72
Pd  0.5000  0.1968  0.0569  2 Al 2.60, 2 Cu 2.72
Pd  0.5000  0.4431  0.3032  2 Al 2.60, 2 Cu 2.72
Pd  0.5000  0.8032  0.9431  2 Al 2.60, 2 Cu 2.72
Pd  0.5000  0.5000  0.0000  4 Al 2.52
Pd  0.5000  0.0000  0.5000  4 Al 2.52
Pd  0.5000  0.6968  0.4431  2 Al 2.60, 2 Cu 2.72
Cu  0.0000  0.0000  0.0000  8 Pd 2.72
Cu  0.0000  0.5000  0.5000  8 Pd 2.72

Output
DOS at the Fermi energy: 0.501 states/eV/atom
theoretical density: 8.41 g cm⁻³
total DFT energy (no corrections): -5.309 eV per atom
formation enthalpy at 0 K: -0.598 eV/atom
total magnetization: 0.00 Bohr magnetons per cell